## Th2Fe3B12W (PBE)

Data for Th2Fe3B12W after structural relaxation.

Summary:
- density (Mg/m³) = 7.13
- total magnetic moment (μB/cell) = 8.01
- energy of formation (eV per atom) = 0.116
- SG = R-3m (166)
- N(E_F) (states/eV per cell) = 10.1

abc: 7.628 7.628 7.628
angles: 47.41 47.41 47.41
Atoms (fractional coordinates):
Th 0.623 0.623 0.623
Th 0.377 0.377 0.377
Fe 0.500 0.000 0.000
Fe 0.000 0.500 0.000
Fe 0.000 0.000 0.500
B 0.335 0.335 0.045
B 0.899 0.899 0.390
B 0.390 0.899 0.899
B 0.045 0.335 0.335
B 0.899 0.390 0.899
B 0.335 0.045 0.335
B 0.665 0.665 0.955
B 0.101 0.101 0.610
B 0.610 0.101 0.101
B 0.955 0.665 0.665
B 0.101 0.610 0.101
B 0.665 0.955 0.665
W 0.000 0.000 0.000